Entry 1:
DFT (PBEsol) results for a relaxed structure of Ni3SbP2.

Cell lengths 3.7046, 3.7046, 6.9072 Å; angles 90.00, 90.00, 120.00 degrees
Sites, in units of the cell vectors:
Ni (0.0000, 0.0000, 0.5000)
Ni (0.3333, 0.6667, 0.2733)
Ni (0.6667, 0.3333, 0.7267)
P (0.3333, 0.6667, 0.6689)
P (0.6667, 0.3333, 0.3311)
Sb (0.0000, 0.0000, 0.0000)

Results
- VASP energy (eV for the cell shown) = -36.114
- raw formation energy (meV per atom) = -250
- space group = No. 164

Entry 2:
DFT (PBEsol) results for a relaxed structure of OF.

Cell lengths 3.7964, 4.0843, 4.3320 Å; angles 92.15, 85.82, 62.52 degrees
Sites, in units of the cell vectors:
O (0.6485, 0.1433, 0.8996)
O (0.6702, 0.1084, 0.6212)
F (0.1096, 0.8097, 0.4796)
F (0.7814, 0.4467, 0.0118)

Results
- VASP energy (eV for the cell shown) = -14.932
- raw formation energy (meV per atom) = -145
- space group = No. 1

Entry 3:
DFT (PBEsol) results for a relaxed structure of CrRhCl2.

Cell lengths 3.4834, 3.4834, 5.8608 Å; angles 107.29, 107.29, 90.00 degrees
Each line ends with the local moment (μB).
Sites, in units of the cell vectors:
Cr (0.5000, 0.5000, 0.0000)  3.79
Rh (0.2500, 0.7500, 0.5000)  -0.24
Cl (0.0000, 0.0000, 0.0000)  -0.02
Cl (0.7500, 0.2500, 0.5000)  0.02

Results
- energy relative to the lowest polymorph listed for this composition (meV per atom) = 402.4
- VASP energy (eV for the cell shown) = -21.442
- raw formation energy (meV per atom) = 238
- space group = No. 119

Entry 4:
DFT (PBEsol) results for a relaxed structure of Zr2ReAu.

Cell lengths 3.3084, 3.3084, 6.7152 Å; angles 90.00, 90.00, 90.00 degrees
Sites, in units of the cell vectors:
Re (0.5000, 0.5000, 0.5000)
Au (0.5000, 0.5000, 0.0000)
Zr (0.0000, 0.0000, 0.7336)
Zr (0.0000, 0.0000, 0.2664)

Results
- VASP energy (eV for the cell shown) = -37.208
- DFT formation energy (eV per atom) = -0.443
- space group = No. 123

Entry 5:
DFT (PBEsol) results for a relaxed structure of Sr2CdCu.

Cell lengths 4.3342, 4.3342, 8.4794 Å; angles 75.19, 75.19, 60.00 degrees
Sites, in units of the cell vectors:
Cd (0.5000, 0.5000, 0.5000)
Cu (0.0000, 0.0000, 0.0000)
Sr (0.7382, 0.7382, 0.7853)
Sr (0.2618, 0.2618, 0.2147)

Results
- VASP energy (eV for the cell shown) = -9.082
- DFT formation energy (eV per atom) = 0.032
- space group = No. 166

Entry 6:
DFT (PBEsol) results for a relaxed structure of KAlRe.

Cell lengths 2.6799, 4.2103, 6.5824 Å; angles 108.65, 101.75, 90.00 degrees
Each line ends with the local moment (μB).
Sites, in units of the cell vectors:
Re (0.3887, 0.3887, 0.7774)  0.08
K (0.6697, 0.6697, 0.3393)  0.00
Al (0.9416, 0.9416, 0.8832)  0.00

Results
- energy relative to the lowest polymorph listed for this composition (meV per atom) = 0.0
- VASP energy (eV for the cell shown) = -16.464
- DFT formation energy (eV per atom) = 0.698
- space group = No. 44

Repeat the fourth record exactly.
DFT (PBEsol) results for a relaxed structure of Zr2ReAu.

Cell lengths 3.3084, 3.3084, 6.7152 Å; angles 90.00, 90.00, 90.00 degrees
Sites, in units of the cell vectors:
Re (0.5000, 0.5000, 0.5000)
Au (0.5000, 0.5000, 0.0000)
Zr (0.0000, 0.0000, 0.7336)
Zr (0.0000, 0.0000, 0.2664)

Results
- VASP energy (eV for the cell shown) = -37.208
- DFT formation energy (eV per atom) = -0.443
- space group = No. 123